# 1
First-principles (SCAN) data for NaLiSi2H4O7 at its PBEsol-relaxed geometry, as listed in the Alexandria database.

a = 5.020 Å, b = 8.290 Å, c = 8.290 Å
α = 60.02°, β = 83.32°, γ = 83.32°
Atoms (fractional coordinates):
1 Na 0.250 0.134 0.866
2 Na 0.750 0.866 0.134
3 Li 0.250 0.505 0.495
4 Li 0.750 0.495 0.505
5 Si 0.433 0.785 0.590
6 Si 0.067 0.410 0.215
7 Si 0.567 0.215 0.410
8 Si 0.933 0.590 0.785
9 H 0.472 0.736 0.948
10 H 0.028 0.052 0.264
11 H 0.528 0.264 0.052
12 H 0.972 0.948 0.736
13 H 0.267 0.712 0.119
14 H 0.233 0.881 0.288
15 H 0.733 0.288 0.881
16 H 0.767 0.119 0.712
17 O 0.481 0.705 0.448
18 O 0.019 0.552 0.295
19 O 0.519 0.295 0.552
20 O 0.981 0.448 0.705
21 O 0.114 0.775 0.670
22 O 0.386 0.330 0.225
23 O 0.886 0.225 0.330
24 O 0.614 0.670 0.775
25 O 0.500 0.000 0.500
26 O 0.000 0.500 0.000
27 O 0.401 0.795 0.024
28 O 0.099 0.976 0.205
29 O 0.599 0.205 0.976
30 O 0.901 0.024 0.795

---

# 2
First-principles (SCAN) data for NaLiHRu2 at its PBEsol-relaxed geometry, as listed in the Alexandria database.

a = 4.037 Å, b = 4.734 Å, c = 4.734 Å
α = 90.00°, β = 90.00°, γ = 90.00°
Last column: magnetic moment on the atom in μB.
Atoms (fractional coordinates):
1 Ru 0.000 0.000 0.500  2.14
2 Ru 0.000 0.500 0.000  2.14
3 Li 0.500 0.000 0.000  -0.02
4 H 0.500 0.500 0.500  -0.03
5 Na 0.000 0.000 0.000  0.00

---

# 3
First-principles (SCAN) data for LiNb2H at its PBEsol-relaxed geometry, as listed in the Alexandria database.

a = 4.131 Å, b = 4.131 Å, c = 4.131 Å
α = 60.00°, β = 60.00°, γ = 60.00°
Atoms (fractional coordinates):
1 H 0.000 0.000 0.000
2 Nb 0.250 0.250 0.250
3 Nb 0.750 0.750 0.750
4 Li 0.500 0.500 0.500

---

| no. | total moment (μB/f.u.) | uncorrected energy (eV/atom) |
| --- | --- | --- |
| 1 | 0.00 | -7.717 |
| 2 | 4.48 | -13.647 |
| 3 | 0.00 | -17.325 |